{
  "formula": "LaTb2SmTm2",
  "functional": "PBE-GGA",
  "state": "relaxed",
  "formation_enthalpy_0k_mev_per_atom": 276,
  "e_tot_ev_per_atom": -4.3654,
  "lattice_angstrom": [[6.521, 0.000, 0.000], [0.000, 18.070, 0.000], [0.000, 0.000, 3.401]],
  "species": ["La", "La", "Tb", "Tb", "Tb", "Tb", "Sm", "Sm", "Tm", "Tm", "Tm", "Tm"],
  "fractional_positions": [[0.000, 0.000, 0.000], [0.500, 0.500, 0.500], [0.215, 0.190, 0.000], [0.285, 0.690, 0.500], [0.715, 0.310, 0.500], [0.785, 0.810, 0.000], [0.000, 0.500, 0.000], [0.500, 0.000, 0.500], [0.213, 0.352, 0.500], [0.287, 0.852, 0.000], [0.713, 0.148, 0.000], [0.787, 0.648, 0.500]]
}